The following is a DFT calculation (PBE) of a relaxed structure of ReTc2Hg.

a b c (Å): 4.886 4.886 4.937
angles (deg): 79.35 79.35 34.05
Element x y z (fractional)
Re1 0.250 0.250 0.250
Tc1 0.513 0.513 0.462
Tc2 0.987 0.987 0.038
Hg1 0.750 0.750 0.750

Its formation energy is 479.2 meV per atom. The space group is C2/m.

---

The following is a DFT calculation (PBE) of a relaxed structure of KMgPd2.

a b c (Å): 5.183 5.183 9.506
angles (deg): 74.18 74.18 90.00
Element x y z (fractional)
Pd1 0.431 0.125 0.250
Pd2 0.375 0.569 0.750
Pd3 0.875 0.681 0.750
Pd4 0.319 0.625 0.250
K1 0.750 0.250 0.500
K2 0.000 0.000 0.000
Mg1 0.250 0.750 0.500
Mg2 0.500 0.500 0.000

Its formation energy is 38.9 meV per atom. The space group is I-42d.

---

The following is a DFT calculation (PBE) of a relaxed structure of Er2SnHg.

a b c (Å): 3.878 5.146 5.146
angles (deg): 90.00 90.00 90.00
Element x y z (fractional)
Er1 0.000 0.000 0.500
Er2 0.000 0.500 0.000
Sn1 0.500 0.500 0.500
Hg1 0.500 0.000 0.000

Its formation energy is -544.2 meV per atom. The space group is P4/mmm.

---

The following is a DFT calculation (PBE) of a relaxed structure of Co3NiPt.

a b c (Å): 4.199 4.199 4.199
angles (deg): 90.00 90.00 90.00
Each line ends with the local moment (μB).
Element x y z (fractional)
Co1 0.000 0.500 0.000  1.87
Co2 0.000 0.000 0.500  2.31
Co3 0.500 0.000 0.000  1.64
Pt1 0.500 0.500 0.500  0.17
Ni1 0.000 0.000 0.000  0.92

Its formation energy is 1039.3 meV per atom. The space group is Pm-3m.

---

The following is a DFT calculation (PBE) of a relaxed structure of Ge2IO.

a b c (Å): 5.328 5.328 7.813
angles (deg): 70.07 70.07 90.00
Element x y z (fractional)
Ge1 0.320 0.625 0.250
Ge2 0.375 0.570 0.750
Ge3 0.875 0.680 0.750
Ge4 0.430 0.125 0.250
O1 0.250 0.750 0.500
O2 0.500 0.500 0.000
I1 0.750 0.250 0.500
I2 0.000 0.000 0.000

As for the formation energy from raw total energies: -0.20 eV per atom. The space group is I-42d.

---

The following is a DFT calculation (PBE) of a relaxed structure of Tb11Y9Tm4.

a b c (Å): 3.645 15.150 15.150
angles (deg): 113.04 90.00 90.00
Element x y z (fractional)
Y1 0.500 0.164 0.631
Y2 0.500 0.215 0.069
Y3 0.500 0.500 0.500
Y4 0.500 0.069 0.215
Y5 0.500 0.631 0.164
Y6 0.500 0.785 0.931
Y7 0.500 0.836 0.369
Y8 0.500 0.369 0.836
Y9 0.500 0.931 0.785
Tb1 0.000 0.407 0.045
Tb2 0.000 0.293 0.293
Tb3 0.000 0.632 0.368
Tb4 0.000 0.840 0.160
Tb5 0.000 0.707 0.707
Tb6 0.000 0.045 0.407
Tb7 0.000 0.368 0.632
Tb8 0.000 0.160 0.840
Tb9 0.000 0.593 0.955
Tb10 0.000 0.955 0.593
Tb11 0.000 0.000 0.000
Tm1 0.500 0.243 0.446
Tm2 0.500 0.446 0.243
Tm3 0.500 0.554 0.757
Tm4 0.500 0.757 0.554

Its formation energy is 45.4 meV per atom. The space group is Cmmm.

---

The following is a DFT calculation (PBE) of a relaxed structure of Na2ZnIn.

a b c (Å): 5.518 6.272 6.272
angles (deg): 107.21 90.00 90.00
Element x y z (fractional)
Na1 0.750 0.644 0.020
Na2 0.250 0.356 0.980
Na3 0.250 0.980 0.356
Na4 0.750 0.020 0.644
In1 0.750 0.175 0.175
In2 0.250 0.825 0.825
Zn1 0.500 0.500 0.500
Zn2 0.000 0.500 0.500

Its formation energy is -38.3 meV per atom. The space group is Cmcm.

---

The following is a DFT calculation (PBE) of a relaxed structure of Ce2PuNp3N6.

a b c (Å): 6.046 6.046 6.078
angles (deg): 99.54 99.54 119.98
Each line ends with the local moment (μB).
Element x y z (fractional)
N1 0.764 0.764 0.270  -0.14
N2 0.584 0.910 0.730  -0.15
N3 0.090 0.416 0.270  -0.15
N4 0.236 0.236 0.730  -0.14
N5 0.910 0.584 0.730  -0.15
N6 0.416 0.090 0.270  -0.15
Np1 0.500 0.500 0.500  3.14
Np2 0.167 0.833 0.500  3.14
Np3 0.833 0.167 0.500  3.14
Ce1 0.334 0.666 0.000  0.58
Ce2 0.666 0.334 0.000  0.58
Pu1 0.000 0.000 0.000  4.88

As for the formation energy from raw total energies: -1.27 eV per atom. The space group is C2/m.

---

The following is a DFT calculation (PBE) of a relaxed structure of Ba4BiSe2.

a b c (Å): 9.238 9.238 9.238
angles (deg): 110.64 108.89 108.89
Each line ends with the local moment (μB).
Element x y z (fractional)
Ba1 0.818 0.144 0.325  0.06
Ba2 0.182 0.507 0.325  0.06
Ba3 0.682 0.075 0.757  0.06
Ba4 0.318 0.075 0.394  0.06
Ba5 0.818 0.675 0.493  0.06
Ba6 0.318 0.243 0.925  0.06
Ba7 0.182 0.675 0.856  0.06
Ba8 0.682 0.606 0.925  0.06
Se1 0.250 0.375 0.625  -0.01
Se2 0.750 0.375 0.625  -0.01
Se3 0.250 0.875 0.625  -0.01
Se4 0.750 0.375 0.125  -0.01
Bi1 0.500 0.750 0.250  -0.03
Bi2 0.000 0.000 0.000  -0.03

As for the formation energy from raw total energies: -1.43 eV per atom. The space group is I4_1/amd.

---

The following is a DFT calculation (PBE) of a relaxed structure of CuSb2Ru2.

a b c (Å): 7.420 7.420 3.185
angles (deg): 90.00 90.00 90.00
Element x y z (fractional)
Ru1 0.358 0.858 0.000
Ru2 0.642 0.142 0.000
Ru3 0.142 0.358 0.000
Ru4 0.858 0.642 0.000
Sb1 0.343 0.157 0.500
Sb2 0.157 0.657 0.500
Sb3 0.657 0.843 0.500
Sb4 0.843 0.343 0.500
Cu1 0.000 0.000 0.000
Cu2 0.500 0.500 0.000

As for the formation energy from raw total energies: 0.11 eV per atom. The space group is P4/mbm.